{
  "formula": "AcTlV2O6",
  "functional": "PBE with a Hubbard U",
  "state": "relaxed",
  "final_energy_ev_per_cell": -145.34,
  "magnetic_moment_mub_per_cell": 4.00,
  "lattice": [[-5.0848, -5.9020, 1.1143], [5.3923, -5.1796, -2.4546], [1.8946, 0.6767, 5.6989]],
  "species": ["O", "O", "O", "O", "O", "O", "O", "O", "O", "O", "O", "O", "Tl", "Tl", "Ac", "Ac", "V", "V", "V", "V"],
  "fractional_positions": [[0.9251, 0.3732, 0.2147], [0.6268, 0.0749, 0.2853], [0.5606, 0.6813, 0.1335], [0.8607, 0.8287, 0.4737], [0.8287, 0.8607, 0.9737], [0.4394, 0.3187, 0.8665], [0.1713, 0.1393, 0.0263], [0.3187, 0.4394, 0.3665], [0.1393, 0.1713, 0.5263], [0.0749, 0.6268, 0.7853], [0.6813, 0.5606, 0.6335], [0.3732, 0.9251, 0.7147], [0.1500, 0.8500, 0.2500], [0.8500, 0.1500, 0.7500], [0.6181, 0.3819, 0.2500], [0.3819, 0.6181, 0.7500], [0.2967, 0.1333, 0.7822], [0.1333, 0.2967, 0.2822], [0.8667, 0.7033, 0.7178], [0.7033, 0.8667, 0.2178]]
}